# MgIn2Pb6

A relaxed structure of MgIn2Pb6 (GGA-PBE, Alexandria).

The space group is P4_2/mnm (No. 136) and the conventional cell measures 8.032, 8.032 and 10.009 Å, with angles of 90.00, 90.00 and 90.00 degrees. The inequivalent atoms are Mg at (0.000, 0.000, 0.000), In at (0.000, 0.000, 0.337), Pb at (0.232, 0.232, 0.164) and Pb at (0.242, 0.242, 0.500).

The excess energy over the best structure of this formula in the dataset is 0.210 eV/atom. For the calculated total energy, the calculation gives -3.01 eV/atom.